Material: Sn2BiPd
Method: DFT, PBE
State: relaxed Values from VASP.

Values from the calculation:
- Symmetry: Fm-3m (225)
- ΔE_f: 61 meV/atom
- DOS(E_F): 0.781 states/eV/atom
- Energy above the most stable polymorph in this dataset: 0.216 eV per atom

```
&SYSTEM
  ibrav = 0, nat = 4, ntyp = 3
/
ATOMIC_SPECIES
Pd 106.42 Pd.upf
Bi 208.98 Bi.upf
Sn 118.71 Sn.upf
CELL_PARAMETERS angstrom
0.0000 3.6809 3.6809
3.6809 0.0000 3.6809
3.6809 3.6809 0.0000
ATOMIC_POSITIONS crystal
Pd 0.0000 0.0000 0.0000
Bi 0.5000 0.5000 0.5000
Sn 0.7500 0.7500 0.7500
Sn 0.2500 0.2500 0.2500
```